First-principles (GGA-PBEsol) data for a relaxed LuNi4Sn crystal, as listed in Alexandria via LeMat-Bulk.

Cell: 6.8851 6.8851 6.8851 Å, 90.00 90.00 90.00°
Space group F-43m (No. 216)
Symmetry-distinct sites (fractional):
Lu 0.0000 0.0000 0.0000 (multiplicity 4)
Ni 0.1248 0.1248 0.6248 (multiplicity 16)
Sn 0.2500 0.2500 0.2500 (multiplicity 4)

Values from the calculation:
Calculated total energy = -6.078 eV/atom
DFT formation energy = -0.4507 eV/atom



First-principles (GGA-PBEsol) data for a relaxed LuNiSn4 crystal, as listed in Alexandria via LeMat-Bulk.

Cell: 4.3266 27.7854 4.4029 Å, 90.00 90.00 90.00°
Space group Cmmm (No. 65)
Symmetry-distinct sites (fractional):
Lu 0.0000 0.1948 0.0000 (multiplicity 4)
Ni 0.0000 0.4471 0.5000 (multiplicity 4)
Sn 0.0000 0.0000 0.5000 (multiplicity 2)
Sn 0.0000 0.1114 0.5000 (multiplicity 4)
Sn 0.0000 0.2865 0.5000 (multiplicity 4)
Sn 0.0000 0.3894 0.0000 (multiplicity 4)
Sn 0.0000 0.5000 0.0000 (multiplicity 2)

Values from the calculation:
Calculated total energy = -5.032 eV/atom
DFT formation energy = -0.3539 eV/atom



First-principles (GGA-PBEsol) data for a relaxed Lu6Ni2Sn crystal, as listed in Alexandria via LeMat-Bulk.

Cell: 8.9738 9.2591 9.7861 Å, 90.00 90.00 90.00°
Space group Immm (No. 71)
Symmetry-distinct sites (fractional):
Lu 0.0000 0.2068 0.2344 (multiplicity 8)
Lu 0.1920 0.5000 0.1746 (multiplicity 8)
Lu 0.2083 0.3169 0.5000 (multiplicity 8)
Ni 0.0000 0.3501 0.0000 (multiplicity 4)
Ni 0.0000 0.5000 0.3756 (multiplicity 4)
Sn 0.0000 0.0000 0.0000 (multiplicity 2)
Sn 0.0000 0.0000 0.5000 (multiplicity 2)

Values from the calculation:
Calculated total energy = -5.548 eV/atom
DFT formation energy = -0.4587 eV/atom



First-principles (GGA-PBEsol) data for a relaxed LuNiSn crystal, as listed in Alexandria via LeMat-Bulk.

Cell: 6.8519 4.3474 7.5298 Å, 90.00 90.00 90.00°
Space group Pnma (No. 62)
Symmetry-distinct sites (fractional):
Lu 0.0128 0.2500 0.1982 (multiplicity 4)
Ni 0.2098 0.7500 0.4120 (multiplicity 4)
Sn 0.1852 0.2500 0.5846 (multiplicity 4)

Values from the calculation:
Calculated total energy = -5.801 eV/atom
DFT formation energy = -0.7047 eV/atom



First-principles (GGA-PBEsol) data for a relaxed Lu2NiSn6 crystal, as listed in Alexandria via LeMat-Bulk.

Cell: 4.2824 22.0411 4.3302 Å, 90.00 90.00 90.00°
Space group Cmmm (No. 65)
Symmetry-distinct sites (fractional):
Lu 0.0000 0.1789 0.0000 (multiplicity 4)
Ni 0.0000 0.5000 0.5000 (multiplicity 2)
Sn 0.0000 0.0717 0.5000 (multiplicity 4)
Sn 0.0000 0.2961 0.5000 (multiplicity 4)
Sn 0.0000 0.4293 0.0000 (multiplicity 4)

Values from the calculation:
Calculated total energy = -5.070 eV/atom
DFT formation energy = -0.4638 eV/atom



First-principles (GGA-PBEsol) data for a relaxed Lu2O3 crystal, as listed in Alexandria via LeMat-Bulk.

Cell: 10.2306 10.2306 10.2306 Å, 90.00 90.00 90.00°
Space group Ia-3 (No. 206)
Symmetry-distinct sites (fractional):
Lu 0.0000 0.2500 0.4662 (multiplicity 24)
Lu 0.2500 0.2500 0.2500 (multiplicity 8)
O 0.1087 0.1524 0.6199 (multiplicity 48)

Values from the calculation:
Calculated total energy = -8.867 eV/atom
Formation energy (no corrections) = -3.7684 eV per atom



- Among the records above, which one has the lowest calculated total energy?
  Lu2O3